(1)
# PBE SrZrAsRu2, optimized geometry
# Energy (Ry/atom): -0.4510
# ΔE_f (eV per formula unit): 2.8
# Magnetization (μB/cell): 0.00
# SG: P4/mmm
data_SrZrAsRu2
_chemical_formula_sum 'Sr1 Zr1 As1 Ru2'
_space_group_name_H-M_alt 'P 1'
_space_group_IT_number 1
_cell_length_a 4.868
_cell_length_b 5.280
_cell_length_c 4.868
_cell_angle_alpha 90.00
_cell_angle_beta 90.00
_cell_angle_gamma 90.00
loop_
_space_group_symop_operation_xyz
'x,y,z'
loop_
_atom_site_label
_atom_site_fract_x
_atom_site_fract_y
_atom_site_fract_z
As1 0.000 0.500 0.000
Sr1 0.500 0.500 0.500
Ru1 0.500 0.000 0.000
Zr1 0.000 0.000 0.000
Ru2 0.000 0.000 0.500

(2)
# PBE TaAsRu3, optimized geometry
# Energy (Ry/atom): -0.5915
# ΔE_f (eV per formula unit): 4.1
# Energy relative to the lowest polymorph listed for this composition (kcal/mol of atoms): 0.00
# Magnetization (μB/cell): 0.00
# SG: Pm-3m
data_TaAsRu3
_chemical_formula_sum 'Ta1 As1 Ru3'
_space_group_name_H-M_alt 'P 1'
_space_group_IT_number 1
_cell_length_a 4.444
_cell_length_b 4.444
_cell_length_c 4.444
_cell_angle_alpha 90.00
_cell_angle_beta 90.00
_cell_angle_gamma 90.00
loop_
_space_group_symop_operation_xyz
'x,y,z'
loop_
_atom_site_label
_atom_site_fract_x
_atom_site_fract_y
_atom_site_fract_z
Ru1 0.500 0.000 0.000
As1 0.000 0.000 0.000
Ta1 0.500 0.500 0.500
Ru2 0.000 0.000 0.500
Ru3 0.000 0.500 0.000

(3)
# PBE Ta2As2Ru, optimized geometry
# Energy (Ry/atom): -0.6286
# ΔE_f (eV per formula unit): -0.5
# Magnetization (μB/cell): 0.00
# SG: P4/mbm
data_Ta2As2Ru
_chemical_formula_sum 'Ta4 As4 Ru2'
_space_group_name_H-M_alt 'P 1'
_space_group_IT_number 1
_cell_length_a 6.976
_cell_length_b 6.976
_cell_length_c 3.374
_cell_angle_alpha 90.00
_cell_angle_beta 90.00
_cell_angle_gamma 90.00
loop_
_space_group_symop_operation_xyz
'x,y,z'
loop_
_atom_site_label
_atom_site_fract_x
_atom_site_fract_y
_atom_site_fract_z
Ta1 0.854 0.354 0.500
As1 0.347 0.847 0.000
As2 0.153 0.347 0.000
As3 0.847 0.653 0.000
As4 0.653 0.153 0.000
Ta2 0.146 0.646 0.500
Ta3 0.646 0.854 0.500
Ta4 0.354 0.146 0.500
Ru1 0.500 0.500 0.000
Ru2 0.000 0.000 0.000

(4)
# PBE TaAsRu2, optimized geometry
# Energy (Ry/atom): -0.6471
# ΔE_f (eV per formula unit): -0.2
# Magnetization (μB/cell): 0.00
# SG: P4mm
data_TaAsRu2
_chemical_formula_sum 'Ta1 As1 Ru2'
_space_group_name_H-M_alt 'P 1'
_space_group_IT_number 1
_cell_length_a 2.957
_cell_length_b 2.957
_cell_length_c 6.937
_cell_angle_alpha 90.00
_cell_angle_beta 90.00
_cell_angle_gamma 90.00
loop_
_space_group_symop_operation_xyz
'x,y,z'
loop_
_atom_site_label
_atom_site_fract_x
_atom_site_fract_y
_atom_site_fract_z
Ta1 0.000 0.000 0.507
Ru1 0.500 0.500 0.240
Ru2 0.000 0.000 0.983
As1 0.500 0.500 0.769

(5)
# PBE TaAsRu2, optimized geometry
# Energy (Ry/atom): -0.6363
# ΔE_f (eV per formula unit): 0.4
# Magnetization (μB/cell): 0.00
# SG: Cmmm
data_TaAsRu2
_chemical_formula_sum 'Ta1 As1 Ru2'
_space_group_name_H-M_alt 'P 1'
_space_group_IT_number 1
_cell_length_a 2.899
_cell_length_b 2.899
_cell_length_c 8.333
_cell_angle_alpha 90.00
_cell_angle_beta 90.00
_cell_angle_gamma 114.40
loop_
_space_group_symop_operation_xyz
'x,y,z'
loop_
_atom_site_label
_atom_site_fract_x
_atom_site_fract_y
_atom_site_fract_z
Ru1 0.000 0.000 0.999
Ru2 0.000 0.000 0.501
Ta1 0.500 0.500 0.250
As1 0.500 0.500 0.750

(6)
# PBE TaAsRu2, optimized geometry
# Energy (Ry/atom): -0.6529
# ΔE_f (eV per formula unit): -0.5
# Magnetization (μB/cell): 0.00
# SG: Amm2
data_TaAsRu2
_chemical_formula_sum 'Ta1 As1 Ru2'
_space_group_name_H-M_alt 'P 1'
_space_group_IT_number 1
_cell_length_a 4.134
_cell_length_b 2.873
_cell_length_c 5.346
_cell_angle_alpha 74.41
_cell_angle_beta 90.00
_cell_angle_gamma 90.00
loop_
_space_group_symop_operation_xyz
'x,y,z'
loop_
_atom_site_label
_atom_site_fract_x
_atom_site_fract_y
_atom_site_fract_z
Ru1 0.000 0.812 0.000
Ta1 0.000 0.559 0.508
Ru2 0.500 0.189 0.247
As1 0.500 0.940 0.745

(7)
# PBE TaAsRu2, optimized geometry
# Energy (Ry/atom): -0.6530
# ΔE_f (eV per formula unit): -0.5
# Magnetization (μB/cell): 0.00
# SG: Cmmm
data_TaAsRu2
_chemical_formula_sum 'Ta1 As1 Ru2'
_space_group_name_H-M_alt 'P 1'
_space_group_IT_number 1
_cell_length_a 4.473
_cell_length_b 4.473
_cell_length_c 3.103
_cell_angle_alpha 90.00
_cell_angle_beta 90.00
_cell_angle_gamma 99.08
loop_
_space_group_symop_operation_xyz
'x,y,z'
loop_
_atom_site_label
_atom_site_fract_x
_atom_site_fract_y
_atom_site_fract_z
Ru1 0.500 0.500 0.000
Ru2 0.000 0.000 0.000
As1 0.000 0.500 0.500
Ta1 0.500 0.000 0.500

(8)
# PBE Ta2AsRu2, optimized geometry
# Energy (Ry/atom): -0.6957
# ΔE_f (eV per formula unit): -0.4
# Magnetization (μB/cell): 0.00
# SG: P4/mbm
data_Ta2AsRu2
_chemical_formula_sum 'Ta4 As2 Ru4'
_space_group_name_H-M_alt 'P 1'
_space_group_IT_number 1
_cell_length_a 7.510
_cell_length_b 7.510
_cell_length_c 3.021
_cell_angle_alpha 90.00
_cell_angle_beta 90.00
_cell_angle_gamma 90.00
loop_
_space_group_symop_operation_xyz
'x,y,z'
loop_
_atom_site_label
_atom_site_fract_x
_atom_site_fract_y
_atom_site_fract_z
Ru1 0.137 0.363 0.000
Ru2 0.637 0.137 0.000
Ta1 0.155 0.655 0.500
Ru3 0.863 0.637 0.000
As1 0.000 0.000 0.000
Ta2 0.845 0.345 0.500
Ru4 0.363 0.863 0.000
Ta3 0.345 0.155 0.500
Ta4 0.655 0.845 0.500
As2 0.500 0.500 0.000

(9)
# PBE TaAsRu2, optimized geometry
# Energy (Ry/atom): -0.6360
# ΔE_f (eV per formula unit): 0.4
# Magnetization (μB/cell): 0.00
# SG: R3m
data_TaAsRu2
_chemical_formula_sum 'Ta1 As1 Ru2'
_space_group_name_H-M_alt 'P 1'
_space_group_IT_number 1
_cell_length_a 8.862
_cell_length_b 8.862
_cell_length_c 8.862
_cell_angle_alpha 18.57
_cell_angle_beta 18.57
_cell_angle_gamma 18.57
loop_
_space_group_symop_operation_xyz
'x,y,z'
loop_
_atom_site_label
_atom_site_fract_x
_atom_site_fract_y
_atom_site_fract_z
As1 0.745 0.745 0.745
Ta1 0.499 0.499 0.499
Ru1 0.254 0.254 0.254
Ru2 0.002 0.002 0.002

(10)
# PBE TaAsRu2, optimized geometry
# Energy (Ry/atom): -0.6533
# ΔE_f (eV per formula unit): -0.5
# Magnetization (μB/cell): 0.00
# SG: P4/mmm
data_TaAsRu2
_chemical_formula_sum 'Ta1 As1 Ru2'
_space_group_name_H-M_alt 'P 1'
_space_group_IT_number 1
_cell_length_a 3.467
_cell_length_b 4.198
_cell_length_c 4.198
_cell_angle_alpha 90.00
_cell_angle_beta 90.00
_cell_angle_gamma 90.00
loop_
_space_group_symop_operation_xyz
'x,y,z'
loop_
_atom_site_label
_atom_site_fract_x
_atom_site_fract_y
_atom_site_fract_z
Ru1 0.000 0.500 0.500
Ru2 0.000 0.000 0.000
As1 0.500 0.000 0.500
Ta1 0.500 0.500 0.000

(11)
# PBE TaAsRu3, optimized geometry
# Energy (Ry/atom): -0.5358
# ΔE_f (eV per formula unit): 7.9
# Energy relative to the lowest polymorph listed for this composition (kcal/mol of atoms): 17.47
# Magnetization (μB/cell): 2.15
# SG: Pm-3m
data_TaAsRu3
_chemical_formula_sum 'Ta1 As1 Ru3'
_space_group_name_H-M_alt 'P 1'
_space_group_IT_number 1
_cell_length_a 4.720
_cell_length_b 4.720
_cell_length_c 4.720
_cell_angle_alpha 90.00
_cell_angle_beta 90.00
_cell_angle_gamma 90.00
loop_
_space_group_symop_operation_xyz
'x,y,z'
loop_
_atom_site_label
_atom_site_fract_x
_atom_site_fract_y
_atom_site_fract_z
Ru1 0.000 0.000 0.500
Ru2 0.000 0.500 0.000
Ru3 0.500 0.000 0.000
Ta1 0.000 0.000 0.000
As1 0.500 0.500 0.500

(12)
# PBE TaAsRu2, optimized geometry
# Energy (Ry/atom): -0.6579
# ΔE_f (eV per formula unit): -0.8
# Magnetization (μB/cell): 0.00
# SG: I4/mmm
data_TaAsRu2
_chemical_formula_sum 'Ta1 As1 Ru2'
_space_group_name_H-M_alt 'P 1'
_space_group_IT_number 1
_cell_length_a 4.653
_cell_length_b 4.653
_cell_length_c 4.653
_cell_angle_alpha 128.16
_cell_angle_beta 128.16
_cell_angle_gamma 76.37
loop_
_space_group_symop_operation_xyz
'x,y,z'
loop_
_atom_site_label
_atom_site_fract_x
_atom_site_fract_y
_atom_site_fract_z
Ru1 0.500 0.500 0.000
Ru2 0.000 0.000 0.000
As1 0.750 0.250 0.500
Ta1 0.250 0.750 0.500

(13)
# PBE TaAsRu2, optimized geometry
# Energy (Ry/atom): -0.6468
# ΔE_f (eV per formula unit): -0.1
# Magnetization (μB/cell): 0.00
# SG: R-3m
data_TaAsRu2
_chemical_formula_sum 'Ta1 As1 Ru2'
_space_group_name_H-M_alt 'P 1'
_space_group_IT_number 1
_cell_length_a 8.333
_cell_length_b 8.333
_cell_length_c 8.333
_cell_angle_alpha 20.63
_cell_angle_beta 20.63
_cell_angle_gamma 20.63
loop_
_space_group_symop_operation_xyz
'x,y,z'
loop_
_atom_site_label
_atom_site_fract_x
_atom_site_fract_y
_atom_site_fract_z
Ru1 0.497 0.497 0.497
As1 0.750 0.750 0.750
Ta1 0.250 0.250 0.250
Ru2 0.003 0.003 0.003

(14)
# PBE TaAsRu2, optimized geometry
# Energy (Ry/atom): -0.6450
# ΔE_f (eV per formula unit): 0.0
# Magnetization (μB/cell): 0.00
# SG: Pmmm
data_TaAsRu2
_chemical_formula_sum 'Ta1 As1 Ru2'
_space_group_name_H-M_alt 'P 1'
_space_group_IT_number 1
_cell_length_a 3.046
_cell_length_b 4.633
_cell_length_c 4.336
_cell_angle_alpha 90.00
_cell_angle_beta 90.00
_cell_angle_gamma 90.00
loop_
_space_group_symop_operation_xyz
'x,y,z'
loop_
_atom_site_label
_atom_site_fract_x
_atom_site_fract_y
_atom_site_fract_z
Ru1 0.500 0.500 0.000
Ta1 0.500 0.000 0.500
Ru2 0.000 0.000 0.000
As1 0.000 0.500 0.500

(15)
# PBE TaAsRu2, optimized geometry
# Energy (Ry/atom): -0.6331
# ΔE_f (eV per formula unit): 0.6
# Magnetization (μB/cell): 0.00
# SG: F-43m
data_TaAsRu2
_chemical_formula_sum 'Ta1 As1 Ru2'
_space_group_name_H-M_alt 'P 1'
_space_group_IT_number 1
_cell_length_a 4.436
_cell_length_b 4.436
_cell_length_c 4.436
_cell_angle_alpha 60.00
_cell_angle_beta 60.00
_cell_angle_gamma 60.00
loop_
_space_group_symop_operation_xyz
'x,y,z'
loop_
_atom_site_label
_atom_site_fract_x
_atom_site_fract_y
_atom_site_fract_z
Ru1 0.250 0.250 0.250
As1 0.500 0.500 0.500
Ta1 0.750 0.750 0.750
Ru2 0.000 0.000 0.000

(16)
# PBE TaAsRu2, optimized geometry
# Energy (Ry/atom): -0.6073
# ΔE_f (eV per formula unit): 2.0
# Magnetization (μB/cell): 0.00
# SG: I-42d
data_TaAsRu2
_chemical_formula_sum 'Ta2 As2 Ru4'
_space_group_name_H-M_alt 'P 1'
_space_group_IT_number 1
_cell_length_a 5.694
_cell_length_b 5.694
_cell_length_c 6.716
_cell_angle_alpha 64.92
_cell_angle_beta 64.92
_cell_angle_gamma 90.00
loop_
_space_group_symop_operation_xyz
'x,y,z'
loop_
_atom_site_label
_atom_site_fract_x
_atom_site_fract_y
_atom_site_fract_z
Ru1 0.608 0.125 0.250
Ru2 0.375 0.392 0.750
Ta1 0.000 0.000 0.000
Ta2 0.750 0.250 0.500
Ru3 0.875 0.858 0.750
Ru4 0.142 0.625 0.250
As1 0.500 0.500 0.000
As2 0.250 0.750 0.500

(17)
# PBE TaAs2Ru2, optimized geometry
# Energy (Ry/atom): -0.5864
# ΔE_f (eV per formula unit): -0.2
# Magnetization (μB/cell): 0.00
# SG: P4/mbm
data_TaAs2Ru2
_chemical_formula_sum 'Ta2 As4 Ru4'
_space_group_name_H-M_alt 'P 1'
_space_group_IT_number 1
_cell_length_a 7.253
_cell_length_b 7.253
_cell_length_c 2.913
_cell_angle_alpha 90.00
_cell_angle_beta 90.00
_cell_angle_gamma 90.00
loop_
_space_group_symop_operation_xyz
'x,y,z'
loop_
_atom_site_label
_atom_site_fract_x
_atom_site_fract_y
_atom_site_fract_z
As1 0.652 0.152 0.000
As2 0.152 0.348 0.000
Ta1 0.500 0.500 0.000
Ru1 0.648 0.852 0.500
As3 0.348 0.848 0.000
Ru2 0.148 0.648 0.500
Ru3 0.352 0.148 0.500
Ta2 0.000 0.000 0.000
Ru4 0.852 0.352 0.500
As4 0.848 0.652 0.000

(18)
# PBE TaAsRu2, optimized geometry
# Energy (Ry/atom): -0.6531
# ΔE_f (eV per formula unit): -0.5
# Magnetization (μB/cell): 0.00
# SG: P2/m
data_TaAsRu2
_chemical_formula_sum 'Ta1 As1 Ru2'
_space_group_name_H-M_alt 'P 1'
_space_group_IT_number 1
_cell_length_a 4.099
_cell_length_b 2.884
_cell_length_c 5.397
_cell_angle_alpha 74.37
_cell_angle_beta 90.00
_cell_angle_gamma 90.00
loop_
_space_group_symop_operation_xyz
'x,y,z'
loop_
_atom_site_label
_atom_site_fract_x
_atom_site_fract_y
_atom_site_fract_z
Ru1 0.000 0.884 0.986
Ta1 0.500 0.250 0.250
As1 0.500 0.750 0.750
Ru2 0.000 0.616 0.514

(19)
# PBE Ta3AsRu, optimized geometry
# Energy (Ry/atom): -0.6485
# ΔE_f (eV per formula unit): 5.4
# Energy relative to the lowest polymorph listed for this composition (kcal/mol of atoms): 0.00
# Magnetization (μB/cell): 0.00
# SG: Pm-3m
data_Ta3AsRu
_chemical_formula_sum 'Ta3 As1 Ru1'
_space_group_name_H-M_alt 'P 1'
_space_group_IT_number 1
_cell_length_a 4.798
_cell_length_b 4.798
_cell_length_c 4.798
_cell_angle_alpha 90.00
_cell_angle_beta 90.00
_cell_angle_gamma 90.00
loop_
_space_group_symop_operation_xyz
'x,y,z'
loop_
_atom_site_label
_atom_site_fract_x
_atom_site_fract_y
_atom_site_fract_z
Ta1 0.500 0.000 0.000
Ta2 0.000 0.500 0.000
Ru1 0.000 0.000 0.000
As1 0.500 0.500 0.500
Ta3 0.000 0.000 0.500

(20)
# PBE TaAs3Ru, optimized geometry
# Energy (Ry/atom): -0.4436
# ΔE_f (eV per formula unit): 4.9
# Energy relative to the lowest polymorph listed for this composition (kcal/mol of atoms): 0.00
# Magnetization (μB/cell): 2.08
# SG: Pm-3m
data_TaAs3Ru
_chemical_formula_sum 'Ta1 As3 Ru1'
_space_group_name_H-M_alt 'P 1'
_space_group_IT_number 1
_cell_length_a 4.937
_cell_length_b 4.937
_cell_length_c 4.937
_cell_angle_alpha 90.00
_cell_angle_beta 90.00
_cell_angle_gamma 90.00
loop_
_space_group_symop_operation_xyz
'x,y,z'
loop_
_atom_site_label
_atom_site_fract_x
_atom_site_fract_y
_atom_site_fract_z
As1 0.500 0.000 0.000
As2 0.000 0.500 0.000
Ru1 0.500 0.500 0.500
As3 0.000 0.000 0.500
Ta1 0.000 0.000 0.000